Material: LiSb2S4
Method: DFT, PBE-GGA
State: relaxed

The structure in POSCAR format:
```
LiSb2S4
1.0
3.8730 0.0000 0.0000
-1.9365 6.2755 0.0000
0.0000 0.0000 13.2656
Li Sb S
2 4 8
Cartesian
1.9365 0.8397 9.9492
0.0000 5.4358 3.3164
0.0000 1.7165 5.6739
1.9365 4.5590 12.3067
0.0000 1.7165 0.9589
1.9365 4.5590 7.5918
1.9365 3.3981 1.5745
1.9365 3.3981 5.0583
0.0000 2.8775 11.6911
0.0000 2.8775 8.2073
1.9365 5.6485 9.9492
0.0000 0.6270 3.3164
1.9365 0.0000 0.0000
1.9365 0.0000 6.6328
```

Energy relative to the lowest polymorph listed for this composition: 12 meV/atom
Space group: Cmcm (63)
DFT total energy: -4.19 eV per atom
Raw formation energy: -0.38 eV/atom
Volume: 322.4 Å³/cell